a | TaTl2S | PBE-GGA | optimized geometry

V	23.09	Å³ per atom

Lattice parameters (Å, degrees): 5.0739 5.0739 5.0739 60.00 60.00 60.00
Fractional coordinates of all 4 atoms:
1 S 0.0000 0.0000 0.0000
2 Ta 0.5000 0.5000 0.5000
3 Tl 0.7500 0.7500 0.7500
4 Tl 0.2500 0.2500 0.2500

---

b | TaTl2S | PBE-GGA | optimized geometry

V	22.63	Å³ per atom

Lattice parameters (Å, degrees): 4.0141 4.0141 11.5888 80.03 80.03 90.00
Fractional coordinates of all 8 atoms:
1 Tl 0.3750 0.3718 0.7500
2 Tl 0.8750 0.8782 0.7500
3 Tl 0.6282 0.1250 0.2500
4 Tl 0.1218 0.6250 0.2500
5 S 0.2500 0.7500 0.5000
6 S 0.5000 0.5000 0.0000
7 Ta 0.7500 0.2500 0.5000
8 Ta 0.0000 0.0000 0.0000

---

Which structure is the least stable? The one labeled a.

---

a | TaV4S8 | PBE-GGA | optimized geometry

V	18.22	Å³ per atom

Lattice parameters (Å, degrees): 6.9446 6.9446 6.9446 60.00 60.00 60.00
Fractional coordinates of all 13 atoms:
1 S 0.1213 0.1213 0.1213
2 S 0.6138 0.6138 0.6138
3 S 0.1213 0.6360 0.1213
4 S 0.1586 0.6138 0.6138
5 S 0.6360 0.1213 0.1213
6 S 0.1213 0.1213 0.6360
7 S 0.6138 0.1586 0.6138
8 S 0.6138 0.6138 0.1586
9 V 0.3500 0.3500 0.3500
10 V 0.3500 0.9500 0.3500
11 V 0.3500 0.3500 0.9500
12 V 0.9500 0.3500 0.3500
13 Ta 0.7500 0.7500 0.7500

---

b | TaV4S8 | PBE-GGA | optimized geometry

V	17.40	Å³ per atom

Lattice parameters (Å, degrees): 6.8154 6.8154 6.8620 90.00 119.78 120.00
Fractional coordinates of all 13 atoms:
1 S 0.0035 0.2468 0.2503
2 S 0.9965 0.2433 0.7497
3 S 0.4937 0.2468 0.2503
4 S 0.0035 0.7567 0.2503
5 S 0.5063 0.7532 0.7497
6 S 0.4920 0.7460 0.2380
7 S 0.9965 0.7532 0.7497
8 S 0.5080 0.2540 0.7620
9 V 0.5000 0.0000 0.0000
10 V 0.0000 0.0000 0.0000
11 V 0.5000 0.5000 0.0000
12 V 0.0000 0.5000 0.0000
13 Ta 0.0000 0.5000 0.5000

---

Which structure is the least stable? The one labeled b.

---

a | TaV2S6 | PBE-GGA | optimized geometry

V	20.48	Å³ per atom

Lattice parameters (Å, degrees): 3.2841 7.5821 8.2883 113.82 101.43 90.00
Fractional coordinates of all 9 atoms:
1 V 0.1744 0.3458 0.3488
2 V 0.8256 0.6542 0.6512
3 S 0.6645 0.1075 0.3291
4 S 0.0093 0.2471 0.0186
5 S 0.3280 0.4310 0.6560
6 S 0.3355 0.8925 0.6709
7 S 0.9907 0.7529 0.9814
8 S 0.6720 0.5690 0.3440
9 Ta 0.5000 0.0000 0.0000

---

b | TaV2S6 | PBE-GGA | optimized geometry

V	19.60	Å³ per atom

Lattice parameters (Å, degrees): 4.1745 6.1780 7.7692 72.10 74.42 70.25
Fractional coordinates of all 9 atoms:
1 V 0.1426 0.7897 0.9251
2 V 0.8574 0.2103 0.0749
3 S 0.2979 0.3544 0.0498
4 S 0.7021 0.6456 0.9502
5 S 0.0298 0.1678 0.7726
6 S 0.3549 0.6670 0.6232
7 S 0.6451 0.3330 0.3768
8 S 0.9702 0.8322 0.2274
9 Ta 0.0000 0.5000 0.5000

---

Which structure is the least stable? The one labeled b.

---

a | Ta2WS6 | PBE-GGA | optimized geometry

V	18.20	Å³ per atom

Lattice parameters (Å, degrees): 6.0165 6.0104 9.0604 90.00 88.70 90.00
Fractional coordinates of all 18 atoms:
1 Ta 0.5802 0.8463 0.7407
2 Ta 0.4198 0.1537 0.2593
3 Ta 0.9198 0.3463 0.7593
4 Ta 0.0802 0.6537 0.2407
5 S 0.6547 0.1803 0.5817
6 S 0.6766 0.4635 0.2319
7 S 0.3237 0.8527 0.0759
8 S 0.1763 0.3527 0.4241
9 S 0.6763 0.1473 0.9241
10 S 0.8234 0.9635 0.2681
11 S 0.8453 0.6803 0.9183
12 S 0.3234 0.5365 0.7681
13 S 0.1547 0.3197 0.0817
14 S 0.3453 0.8197 0.4183
15 S 0.1766 0.0365 0.7319
16 S 0.8237 0.6473 0.5759
17 W 0.0000 0.0000 0.5000
18 W 0.5000 0.5000 0.0000

---

b | Ta2WS6 | PBE-GGA | optimized geometry

V	21.54	Å³ per atom

Lattice parameters (Å, degrees): 3.3475 7.6638 8.4843 114.18 101.38 90.00
Fractional coordinates of all 9 atoms:
1 S 0.3237 0.4403 0.6475
2 S 0.6763 0.5597 0.3525
3 S 0.3385 0.9189 0.6771
4 S 0.6615 0.0811 0.3229
5 S 0.9980 0.2356 0.9959
6 S 0.0020 0.7644 0.0041
7 W 0.5000 0.0000 0.0000
8 Ta 0.1517 0.3030 0.3033
9 Ta 0.8483 0.6970 0.6967

---

Which structure is the least stable? The one labeled a.